# Li4Ti2Mn3O10 PBE+U optimized geometry
data_Li4Ti2Mn3O10
_chemical_formula_sum 'Li4 Ti2 Mn3 O10'
_cell_length_a 5.2141
_cell_length_b 5.2879
_cell_length_c 7.9789
_cell_angle_alpha 71.86
_cell_angle_beta 73.43
_cell_angle_gamma 77.71
_symmetry_space_group_name_H-M 'P -1'
_symmetry_Int_Tables_number 2
_symmetry_space_group_name_Hall '-P 1'
loop_
_atom_site_label
_atom_site_fract_x
_atom_site_fract_y
_atom_site_fract_z
Li1 0.1242 0.0764 0.2509
Li2 0.2545 0.9697 0.8938
Ti1 0.4167 0.5551 0.1755
Mn1 0.1723 0.4836 0.6207
Mn2 0.5000 0.0000 0.5000
O1 0.0905 0.7748 0.1628
O2 0.1674 0.3026 0.4262
O3 0.2682 0.7279 0.7233
O4 0.3923 0.2829 0.0557
O5 0.4946 0.2498 0.6765
# E = -7.249 eV/atom